[1]
A plane-wave DFT calculation with PBE was carried out for BPt after structural relaxation.

abc: 3.2044 3.2044 3.2044
angles: 60.00 60.00 60.00
With the nearest neighbours (Å) after each atom.
Fractional coordinates of all 2 atoms:
B 0.0000 0.0000 0.0000  6 Pt 2.27
Pt 0.5000 0.5000 0.5000  6 B 2.27

space group: No. 225


[2]
A plane-wave DFT calculation with PBE was carried out for SbPW4C2 after structural relaxation.

abc: 3.2515 3.2515 12.3020
angles: 90.00 90.00 120.00
With the nearest neighbours (Å) after each atom.
Fractional coordinates of all 8 atoms:
W 0.6667 0.3333 0.6352  3 C 2.25, 3 P 2.51
W 0.3333 0.6667 0.8112  3 C 2.09
W 0.6667 0.3333 0.3648  3 C 2.25, 3 P 2.51
W 0.3333 0.6667 0.1888  3 C 2.09
C 0.0000 0.0000 0.2643  6 W 2.09-2.25
C 0.0000 0.0000 0.7357  6 W 2.09-2.25
Sb 0.6667 0.3333 0.0000  6 W 2.99, 6 Sb 3.25
P 0.3333 0.6667 0.5000  6 W 2.51

space group: No. 187


[3]
A plane-wave DFT calculation with PBE was carried out for HoErGa2Co4 after structural relaxation.

abc: 4.1025 4.1025 8.8538
angles: 90.00 90.00 120.00
With the nearest neighbours (Å) after each atom.
Fractional coordinates of all 8 atoms:
Ho 0.3333 0.6667 0.5000  8 Co 2.76-2.91
Co 0.0000 0.0000 0.6910  3 Ga 2.43, 3 Co 2.60
Co 0.3333 0.6667 0.8113  3 Ga 2.43, 3 Co 2.60
Co 0.0000 0.0000 0.3090  3 Ga 2.43, 3 Co 2.60
Co 0.3333 0.6667 0.1887  3 Ga 2.43, 3 Co 2.60
Ga 0.6667 0.3333 0.7508  6 Co 2.43
Ga 0.6667 0.3333 0.2492  6 Co 2.43
Er 0.0000 0.0000 0.0000  8 Co 2.74-2.90

space group: No. 187


[4]
A plane-wave DFT calculation with PBE was carried out for CuBiPF after structural relaxation.

abc: 6.2604 6.9292 7.1977
angles: 90.00 90.00 90.00
With the nearest neighbours (Å) after each atom.
Fractional coordinates of all 16 atoms:
Bi 0.7111 0.3625 0.8235  1 F 2.31
Bi 0.2889 0.8625 0.6765  1 F 2.31
Bi 0.2111 0.1375 0.1765  1 F 2.31
Bi 0.7889 0.6375 0.3235  1 F 2.31
F 0.6379 0.6487 0.9747  1 Cu 2.14, 1 Bi 2.31
F 0.3621 0.1487 0.5253  1 Cu 2.14, 1 Bi 2.31
F 0.8621 0.3513 0.4747  1 Cu 2.14, 1 Bi 2.31
F 0.1379 0.8513 0.0253  1 Cu 2.14, 1 Bi 2.31
P 0.8736 0.8761 0.5996  2 Cu 2.21-2.23
P 0.1264 0.3761 0.9004  2 Cu 2.21-2.23
P 0.6264 0.1239 0.0996  2 Cu 2.21-2.23
P 0.3736 0.6239 0.4004  2 Cu 2.21-2.23
Cu 0.8006 0.0708 0.3620  1 F 2.14, 2 P 2.21-2.23
Cu 0.3006 0.4292 0.6380  1 F 2.14, 2 P 2.21-2.23
Cu 0.1994 0.5708 0.1380  1 F 2.14, 2 P 2.21-2.23
Cu 0.6994 0.9292 0.8620  1 F 2.14, 2 P 2.21-2.23

space group: No. 19


We obtain electronic total energy values of -0.22302; -0.35959; -0.21086; -0.16137 hartree per atom for the records listed above, in that order.
We obtain calculated density values of 14.69; 13.45; 9.10; 6.86 Mg/m³ for the records listed above, in that order.